(1)
# CuHgPtPb

CuHgPtPb after structural relaxation (PBE, OQMD via LeMat-Bulk).

Structure (POSCAR):
```
CuHgPtPb
1.0
3.946 -2.396 -1.267
1.195 -4.027 2.295
-0.375 -4.223 -2.223
Pt Pb Cu Hg
1 1 1 1
direct
0.250 0.250 0.250 Pt
0.000 0.000 0.000 Pb
0.750 0.750 0.750 Cu
0.500 0.500 0.500 Hg
```

Properties
As for the space group: F-43m, No. 216. For the total magnetization, the calculation gives 0.00 μB/f.u. Its crystal system is cubic. Its energy above the lowest structure with this stoichiometry is 0 meV per atom. The energy comes out at -13.25 eV/cell.

(2)
# LiFeHgAs

LiFeHgAs after structural relaxation (PBE, OQMD via LeMat-Bulk).

Structure (POSCAR):
```
LiFeHgAs
1.0
0.000 3.164 3.164
3.164 0.000 3.164
3.164 3.164 0.000
Li As Fe Hg
1 1 1 1
direct
0.250 0.250 0.250 Li
0.000 0.000 0.000 As
0.750 0.750 0.750 Fe
0.500 0.500 0.500 Hg
```

Properties
As for the space group: F-43m, No. 216. For the total magnetization, the calculation gives 2.27 μB/f.u. Its crystal system is cubic. Its energy above the lowest structure with this stoichiometry is 0 meV per atom. The energy comes out at -14.92 eV/cell.